First-principles (PBE) data for BiBr3N after structural relaxation, as listed in Alexandria via LeMat-Bulk.

Cell: 5.7239 5.7239 5.7239 Å, 90.00 90.00 90.00°
With the nearest neighbours (Å) after each atom.
Atoms (fractional coordinates):
1 Bi 0.0000 0.0000 0.0000  6 Br 2.86
2 Br 0.0000 0.0000 0.5000  2 Bi 2.86
3 Br 0.0000 0.5000 0.0000  2 Bi 2.86
4 Br 0.5000 0.0000 0.0000  2 Bi 2.86
5 N 0.5000 0.5000 0.5000  12 Br 4.05

Values from the calculation:
- N(E_F) (states/eV/atom) = 0.0000
- mass density (g cm⁻³) = 4.10
- crystal system = cubic
- total DFT energy (no corrections) (Ha/atom) = -0.106